The following is a GGA+U calculation of crystalline MgVN2O at its relaxed geometry, from Alexandria.

Unit cell a=4.2040 b=4.2040 c=3.5151 alpha=90.00 beta=90.00 gamma=90.00
Space group P4/mmm (No. 123)
Inequivalent atoms, fractional coordinates:
1 Mg 0.0000 0.0000 0.0000 (multiplicity 1)
2 V 0.5000 0.5000 0.0000 (multiplicity 1)
3 N 0.0000 0.5000 0.5000 (multiplicity 2)
4 O 0.5000 0.5000 0.5000 (multiplicity 1)

Values from the calculation:
final energy: -5.081 eV per atom